Entry 1:
The following is a PBE-GGA calculation of a relaxed VRhIN2 crystal, from the Alexandria database.

abc: 3.7984 3.7984 7.3273
angles: 90.00 90.00 90.00
Space group P4/mmm (No. 123)
Inequivalent atoms, fractional coordinates:
1 V 0.0000 0.0000 0.0000 [1 per cell]
2 Rh 0.5000 0.5000 0.5000 [1 per cell]
3 I 0.5000 0.5000 0.0000 [1 per cell]
4 N 0.0000 0.5000 0.5000 [2 per cell]

Results
Total DFT energy (no corrections), eV for the cell shown: -27.3
Relative energy among the computed polymorphs, meV per atom: 756
Uncorrected formation energy, meV/atom: 1466
Crystal system: tetragonal

---

Entry 2:
The following is a PBE-GGA calculation of a relaxed Ba2NaBi3Pt4 crystal, from the Alexandria database.

abc: 4.8853 4.8853 11.1490
angles: 90.00 90.00 90.00
Space group P-4m2 (No. 115)
Inequivalent atoms, fractional coordinates:
1 Ba 0.0000 0.5000 0.2436 [2 per cell]
2 Na 0.0000 0.0000 0.5000 [1 per cell]
3 Bi 0.0000 0.5000 0.8771 [2 per cell]
4 Bi 0.5000 0.5000 0.5000 [1 per cell]
5 Pt 0.0000 0.0000 0.0000 [1 per cell]
6 Pt 0.0000 0.5000 0.6310 [2 per cell]
7 Pt 0.5000 0.5000 0.0000 [1 per cell]

Results
Total DFT energy (no corrections), eV for the cell shown: -46.7
Calculated formation energy, eV per formula unit: -5.73
Crystal system: tetragonal